Sn3Sb5S12: relaxed, PBE.

abc: 14.1433 14.1433 14.1433
angles: 109.47 109.47 109.47
Element x y z (fractional)
Sb: 0.7500 0.1250 0.8750
S: 0.0876 0.1766 0.2143
S: 0.2857 0.8733 0.9623
S: 0.0377 0.4110 0.8234
Sn: 0.8750 0.1250 0.2500
Sb: 0.3750 0.1250 0.7500
S: 0.4124 0.2857 0.3234
S: 0.9623 0.3733 0.2857
S: 0.1766 0.0876 0.7143
Sb: 0.0000 0.0000 0.0000
S: 0.3234 0.7857 0.4124
S: 0.1267 0.4124 0.0890
S: 0.1766 0.0890 0.9623
S: 0.9124 0.0890 0.6267
S: 0.9124 0.8234 0.7857
Sn: 0.6250 0.2500 0.3750
Sn: 0.7500 0.3750 0.1250
S: 0.5377 0.2143 0.1267
Sb: 0.0000 0.0000 0.5000
Sb: 0.1250 0.3750 0.2500
S: 0.6267 0.0377 0.2143
S: 0.6766 0.4623 0.5890
S: 0.9110 0.0876 0.8733
S: 0.4110 0.3733 0.5876
Sb: 0.3750 0.2500 0.1250
Sn: 0.6250 0.3750 0.7500
S: 0.5890 0.6267 0.4124
Sb: 0.5000 0.5000 0.5000
S: 0.8234 0.9110 0.0377
S: 0.4623 0.7857 0.8733
S: 0.7143 0.1267 0.0377
Sb: 0.7500 0.6250 0.3750
Sb: 0.1250 0.7500 0.3750
Sn: 0.7500 0.8750 0.6250
Sb: 0.2500 0.8750 0.1250
Sb: 0.6250 0.7500 0.8750
S: 0.4124 0.1267 0.5890
Sn: 0.1250 0.8750 0.7500
S: 0.3733 0.9623 0.7857
S: 0.5876 0.7143 0.6766
S: 0.1267 0.7143 0.5377
Sb: 0.5000 0.0000 0.0000
Sb: 0.8750 0.2500 0.6250
S: 0.3733 0.4110 0.0876
Sb: 0.2500 0.3750 0.6250
S: 0.7857 0.3234 0.9124
S: 0.2143 0.5377 0.6267
Sn: 0.3750 0.6250 0.2500
S: 0.8733 0.2857 0.4623
S: 0.9623 0.5890 0.1766
S: 0.8234 0.9124 0.2857
Sb: 0.6250 0.8750 0.2500
S: 0.6267 0.5890 0.9124
S: 0.7857 0.4623 0.3733
S: 0.4110 0.0377 0.3234
S: 0.5890 0.9623 0.6766
Sb: 0.0000 0.5000 0.5000
S: 0.2857 0.4124 0.8234
Sb: 0.5000 0.0000 0.5000
Sb: 0.5000 0.5000 0.0000
S: 0.4623 0.6766 0.0890
S: 0.5377 0.3234 0.9110
Sn: 0.1250 0.2500 0.8750
S: 0.0876 0.9110 0.3733
Sb: 0.8750 0.6250 0.7500
S: 0.3234 0.5377 0.4110
S: 0.2143 0.6766 0.0876
S: 0.9110 0.8234 0.5377
S: 0.0890 0.1766 0.4623
Sn: 0.2500 0.6250 0.8750
Sn: 0.3750 0.7500 0.6250
Sn: 0.2500 0.1250 0.3750
S: 0.0890 0.9124 0.1267
Sb: 0.0000 0.5000 0.0000
S: 0.0377 0.6267 0.7143
S: 0.8733 0.5876 0.9110
Sn: 0.8750 0.7500 0.1250
S: 0.5876 0.8733 0.4110
S: 0.6766 0.2143 0.5876
S: 0.7143 0.5876 0.1766

## Properties
The calculation puts the total DFT energy (no corrections) at -337.98 eV per cell.